1.
CrRe2P | PBE-GGA | relaxed

Cell: 2.922 2.922 6.181 Å, 90.00 90.00 90.00°
Last column: magnetic moment on the atom in μB.
Atoms (fractional coordinates):
Re (0.000, 0.000, 0.512)  -0.10
Cr (0.500, 0.500, 0.250)  0.86
P (0.500, 0.500, 0.750)  0.03
Re (0.000, 0.000, 0.988)  -0.10

Calculated values
space group: P4/mmm


2.
CrReP2 | PBE-GGA | relaxed

Cell: 4.521 4.521 4.521 Å, 130.53 130.53 72.57°
Last column: magnetic moment on the atom in μB.
Atoms (fractional coordinates):
Cr (0.750, 0.250, 0.500)  1.31
Re (0.500, 0.500, 0.000)  -0.26
P (0.250, 0.750, 0.500)  0.00
P (0.000, 0.000, 0.000)  -0.03

Calculated values
space group: I-4m2
polymorph energy (0 for the lowest one): 600.6 meV/atom


3.
CrReP | PBE-GGA | relaxed

Cell: 4.053 4.053 2.790 Å, 90.00 90.00 120.00°
Last column: magnetic moment on the atom in μB.
Atoms (fractional coordinates):
Cr (0.000, 0.000, 0.000)  0.22
Re (0.667, 0.333, 0.500)  -0.06
P (0.333, 0.667, 0.500)  -0.01

Calculated values
space group: P-6m2
polymorph energy (0 for the lowest one): 224.7 meV/atom


4.
CrRe2P | PBE-GGA | relaxed

Cell: 2.740 2.740 7.989 Å, 90.00 90.00 114.43°
Atoms (fractional coordinates):
Cr (0.000, 0.000, 0.525)
Re (0.000, 0.000, 0.975)
Re (0.500, 0.500, 0.262)
P (0.500, 0.500, 0.738)

Calculated values
space group: Cmm2


5.
CrReP | PBE-GGA | relaxed

Cell: 2.791 2.791 5.797 Å, 90.00 90.00 120.00°
Atoms (fractional coordinates):
Cr (0.000, 0.000, 0.017)
Re (0.667, 0.333, 0.662)
P (0.333, 0.667, 0.321)

Calculated values
space group: P3m1
polymorph energy (0 for the lowest one): 329.0 meV/atom


6.
CrReP2 | PBE-GGA | relaxed

Cell: 2.697 2.697 9.190 Å, 90.00 90.00 112.78°
Last column: magnetic moment on the atom in μB.
Atoms (fractional coordinates):
Cr (0.500, 0.500, 0.748)  0.89
P (0.500, 0.500, 0.302)  0.00
Re (0.000, 0.000, 0.513)  -0.02
P (0.000, 0.000, 0.937)  -0.04

Calculated values
space group: Cmm2
polymorph energy (0 for the lowest one): 630.8 meV/atom


7.
CrReP2 | PBE-GGA | relaxed

Cell: 2.865 2.865 7.426 Å, 90.00 90.00 118.18°
Last column: magnetic moment on the atom in μB.
Atoms (fractional coordinates):
Cr (0.500, 0.500, 0.750)  1.07
P (0.000, 0.000, 0.511)  -0.03
P (0.000, 0.000, 0.989)  -0.03
Re (0.500, 0.500, 0.250)  -0.01

Calculated values
space group: Cmmm
polymorph energy (0 for the lowest one): 610.4 meV/atom


8.
Cr4ReP | PBE-GGA | relaxed

Cell: 4.709 4.709 4.709 Å, 60.00 60.00 60.00°
Atoms (fractional coordinates):
Cr (0.869, 0.377, 0.377)
Re (0.000, 0.000, 0.000)
Cr (0.377, 0.377, 0.869)
P (0.750, 0.750, 0.750)
Cr (0.377, 0.869, 0.377)
Cr (0.377, 0.377, 0.377)

Calculated values
space group: F-43m


9.
CrRe2P | PBE-GGA | relaxed

Cell: 2.846 2.846 6.495 Å, 90.00 90.00 90.00°
Atoms (fractional coordinates):
P (0.500, 0.500, 0.724)
Re (0.000, 0.000, 0.979)
Re (0.500, 0.500, 0.260)
Cr (0.000, 0.000, 0.537)

Calculated values
space group: P4mm


10.
CrReP | PBE-GGA | relaxed

Cell: 5.008 5.008 5.008 Å, 146.90 146.90 47.51°
Atoms (fractional coordinates):
P (0.344, 0.344, 0.000)
Cr (0.981, 0.981, 0.000)
Re (0.674, 0.674, 0.000)

Calculated values
space group: I4mm
polymorph energy (0 for the lowest one): 121.9 meV/atom


11.
CrReP | PBE-GGA | relaxed

Cell: 6.165 5.891 2.795 Å, 82.12 71.19 26.68°
Last column: magnetic moment on the atom in μB.
Atoms (fractional coordinates):
P (0.662, 0.662, 0.338)  -0.03
Re (0.325, 0.325, 0.675)  -0.08
Cr (0.013, 0.013, 0.987)  1.31

Calculated values
space group: Fmm2
polymorph energy (0 for the lowest one): 534.6 meV/atom


12.
CrReP2 | PBE-GGA | relaxed

Cell: 3.915 3.082 4.804 Å, 90.00 90.00 90.00°
Last column: magnetic moment on the atom in μB.
Atoms (fractional coordinates):
Re (0.500, 0.250, 0.250)  0.01
P (0.000, 0.249, 0.973)  -0.03
P (0.000, 0.251, 0.527)  -0.03
Cr (0.500, 0.750, 0.750)  2.89

Calculated values
space group: Pmmm
polymorph energy (0 for the lowest one): 480.3 meV/atom


13.
CrReP3 | PBE-GGA | relaxed

Cell: 4.380 4.380 4.380 Å, 90.00 90.00 90.00°
Last column: magnetic moment on the atom in μB.
Atoms (fractional coordinates):
P (0.500, 0.000, 0.000)  -0.12
Re (0.500, 0.500, 0.500)  2.33
Cr (0.000, 0.000, 0.000)  1.06
P (0.000, 0.500, 0.000)  -0.14
P (0.000, 0.000, 0.500)  -0.11

Calculated values
space group: Pm-3m
polymorph energy (0 for the lowest one): 0.0 meV/atom


14.
CrReP | PBE-GGA | relaxed

Cell: 4.581 6.797 6.797 Å, 53.01 72.27 72.27°
Atoms (fractional coordinates):
P (0.616, 0.976, 0.226)
Re (0.797, 0.843, 0.593)
Re (0.203, 0.657, 0.907)
Cr (0.194, 0.918, 0.168)
Cr (0.806, 0.582, 0.332)
Cr (0.806, 0.082, 0.832)
Re (0.203, 0.157, 0.407)
P (0.384, 0.024, 0.774)
Cr (0.194, 0.418, 0.668)
P (0.384, 0.524, 0.274)
P (0.616, 0.476, 0.726)
Re (0.797, 0.343, 0.093)

Calculated values
space group: P2_1/m
polymorph energy (0 for the lowest one): 0.0 meV/atom


15.
CrReP3 | PBE-GGA | relaxed

Cell: 4.603 4.603 4.603 Å, 90.00 90.00 90.00°
Last column: magnetic moment on the atom in μB.
Atoms (fractional coordinates):
P (0.000, 0.000, 0.500)  0.02
Cr (0.500, 0.500, 0.500)  -0.47
P (0.500, 0.000, 0.000)  0.00
Re (0.000, 0.000, 0.000)  0.24
P (0.000, 0.500, 0.000)  0.02

Calculated values
space group: Pm-3m
polymorph energy (0 for the lowest one): 151.1 meV/atom


16.
CrReP2 | PBE-GGA | relaxed

Cell: 4.650 4.650 4.650 Å, 142.73 117.63 74.96°
Last column: magnetic moment on the atom in μB.
Atoms (fractional coordinates):
Re (0.250, 0.750, 0.500)  0.01
Cr (0.750, 0.250, 0.500)  0.59
P (0.989, 0.989, 0.000)  -0.01
P (0.511, 0.511, 0.000)  -0.01

Calculated values
space group: Immm
polymorph energy (0 for the lowest one): 605.8 meV/atom


17.
CrRe2P | PBE-GGA | relaxed

Cell: 3.730 3.730 9.066 Å, 78.13 78.13 90.00°
Last column: magnetic moment on the atom in μB.
Atoms (fractional coordinates):
Re (0.155, 0.625, 0.250)  -0.20
Cr (0.000, 0.000, 0.000)  1.42
Re (0.375, 0.405, 0.750)  -0.18
Cr (0.750, 0.250, 0.500)  1.42
Re (0.595, 0.125, 0.250)  -0.20
P (0.250, 0.750, 0.500)  -0.04
Re (0.875, 0.845, 0.750)  -0.18
P (0.500, 0.500, 0.000)  -0.04

Calculated values
space group: I-42d


18.
CrRe2P | PBE-GGA | relaxed

Cell: 3.050 2.949 6.239 Å, 76.38 90.00 90.00°
Atoms (fractional coordinates):
Cr (0.000, 0.538, 0.552)
P (0.500, 0.968, 0.692)
Re (0.000, 0.813, 0.995)
Re (0.500, 0.182, 0.260)

Calculated values
space group: Pm


19.
CrRe2P | PBE-GGA | relaxed

Cell: 4.558 4.558 4.434 Å, 74.93 74.93 37.35°
Atoms (fractional coordinates):
P (0.248, 0.248, 0.219)
Re (0.760, 0.760, 0.674)
Cr (0.502, 0.502, 0.542)
Re (0.989, 0.989, 0.065)

Calculated values
space group: Cm


20.
CrReP2 | PBE-GGA | relaxed

Cell: 3.994 3.994 4.922 Å, 77.96 77.96 41.88°
Atoms (fractional coordinates):
P (0.503, 0.503, 0.480)
P (0.997, 0.997, 0.020)
Cr (0.250, 0.250, 0.250)
Re (0.750, 0.750, 0.750)

Calculated values
space group: C2/m
polymorph energy (0 for the lowest one): 336.3 meV/atom


21.
CrReP2 | PBE-GGA | relaxed

Cell: 5.253 5.253 6.627 Å, 66.65 66.65 90.00°
Last column: magnetic moment on the atom in μB.
Atoms (fractional coordinates):
Cr (0.500, 0.500, 0.000)  2.63
Cr (0.250, 0.750, 0.500)  2.63
P (0.633, 0.125, 0.250)  -0.08
P (0.117, 0.625, 0.250)  -0.08
P (0.375, 0.367, 0.750)  -0.08
Re (0.750, 0.250, 0.500)  0.17
P (0.875, 0.883, 0.750)  -0.08
Re (0.000, 0.000, 0.000)  0.17

Calculated values
space group: I-42d
polymorph energy (0 for the lowest one): 553.7 meV/atom


22.
CrRe2P | PBE-GGA | relaxed

Cell: 3.984 2.766 5.354 Å, 68.58 90.00 90.00°
Last column: magnetic moment on the atom in μB.
Atoms (fractional coordinates):
Re (0.000, 0.822, 0.993)  -0.08
P (0.500, 0.750, 0.750)  0.00
Cr (0.500, 0.250, 0.250)  0.71
Re (0.000, 0.678, 0.507)  -0.08

Calculated values
space group: P2/m


23.
CrRe2P | PBE-GGA | relaxed

Cell: 2.776 2.776 7.983 Å, 90.00 90.00 115.63°
Last column: magnetic moment on the atom in μB.
Atoms (fractional coordinates):
Re (0.000, 0.000, 0.988)  -0.05
Re (0.000, 0.000, 0.512)  -0.05
P (0.500, 0.500, 0.750)  0.01
Cr (0.500, 0.500, 0.250)  0.77

Calculated values
space group: Cmmm


24.
Cr2Re2P | PBE-GGA | relaxed

Cell: 7.152 7.152 2.807 Å, 90.00 90.00 90.00°
Atoms (fractional coordinates):
Cr (0.357, 0.143, 0.500)
Re (0.650, 0.150, 0.000)
Cr (0.643, 0.857, 0.500)
Cr (0.143, 0.643, 0.500)
P (0.000, 0.000, 0.000)
Re (0.150, 0.350, 0.000)
P (0.500, 0.500, 0.000)
Re (0.350, 0.850, 0.000)
Re (0.850, 0.650, 0.000)
Cr (0.857, 0.357, 0.500)

Calculated values
space group: P4/mbm
polymorph energy (0 for the lowest one): 164.9 meV/atom


25.
CrReP | PBE-GGA | relaxed

Cell: 4.309 4.309 4.309 Å, 141.67 127.10 67.20°
Atoms (fractional coordinates):
Cr (0.997, 0.997, 0.000)
Re (0.334, 0.334, 0.000)
P (0.669, 0.669, 0.000)

Calculated values
space group: Imm2
polymorph energy (0 for the lowest one): 331.7 meV/atom


26.
CrRe2P | PBE-GGA | relaxed

Cell: 4.249 4.249 4.249 Å, 60.00 60.00 60.00°
Last column: magnetic moment on the atom in μB.
Atoms (fractional coordinates):
Re (0.750, 0.750, 0.750)  -0.01
Re (0.000, 0.000, 0.000)  0.03
Cr (0.500, 0.500, 0.500)  0.16
P (0.250, 0.250, 0.250)  0.00

Calculated values
space group: F-43m


27.
CrRe2P | PBE-GGA | relaxed

Cell: 4.244 4.244 2.942 Å, 90.00 90.00 90.03°
Last column: magnetic moment on the atom in μB.
Atoms (fractional coordinates):
Cr (0.500, 0.000, 0.500)  1.40
Re (0.500, 0.500, 0.000)  -0.13
Re (0.000, 0.000, 0.000)  -0.13
P (0.000, 0.500, 0.500)  0.04

Calculated values
space group: P4/mmm


28.
CrReP2 | PBE-GGA | relaxed

Cell: 7.443 7.443 7.443 Å, 22.65 22.65 22.65°
Last column: magnetic moment on the atom in μB.
Atoms (fractional coordinates):
P (0.004, 0.004, 0.004)  -0.01
Re (0.505, 0.505, 0.505)  0.00
Cr (0.742, 0.742, 0.742)  0.29
P (0.250, 0.250, 0.250)  0.00

Calculated values
space group: R3m
polymorph energy (0 for the lowest one): 331.7 meV/atom


29.
CrReP2 | PBE-GGA | relaxed

Cell: 7.430 7.430 7.430 Å, 22.24 22.24 22.24°
Last column: magnetic moment on the atom in μB.
Atoms (fractional coordinates):
P (0.496, 0.496, 0.496)  -0.01
Cr (0.750, 0.750, 0.750)  0.46
P (0.004, 0.004, 0.004)  -0.01
Re (0.250, 0.250, 0.250)  0.03

Calculated values
space group: R-3m
polymorph energy (0 for the lowest one): 363.2 meV/atom


Volume list, top to bottom, in Å³ per cell: 52.8, 52.2, 39.7, 54.6, 39.1, 61.6, 53.7, 73.8, 52.6, 37.3, 40.3, 58.0, 84.0, 159.0, 97.5, 52.8, 120.7, 54.5, 53.7, 51.1, 151.5, 54.9, 55.5, 143.6, 39.0, 54.3, 53.0, 53.6, 51.5
Calculated formation energy list, top to bottom, in kJ/mol of atoms: -2.8, 23.2, -4.0, 25.8, 6.0, 26.1, 24.1, 26.1, -9.0, -14.0, 25.9, 11.5, 109.5, -25.7, 124.1, 23.7, 52.4, -13.7, 0.2, -2.3, 18.6, 12.7, 37.5, 46.0, 6.3, 30.2, 4.9, -2.8, 0.2
N(E_F) list, top to bottom, in states/eV/atom: 0.815, 0.641, 0.710, 0.958, 0.831, 0.882, 0.782, 1.167, 0.668, 0.409, 1.089, 0.663, 1.308, 0.788, 2.246, 0.869, 0.777, 0.566, 0.685, 0.823, 0.945, 0.810, 1.008, 0.950, 0.744, 1.355, 0.764, 0.686, 0.963